(1)
DFT (PBE) results for a relaxed structure of Al2Si2Tc.

a = 6.336 Å, b = 6.336 Å, c = 3.680 Å
α = 90.00°, β = 90.00°, γ = 90.00°
Space group P4/mbm (No. 127)
Asymmetric unit:
Al  0.173  0.327  0.000 x4
Si  0.133  0.633  0.500 x4
Tc  0.000  0.000  0.500 x2

Calculated values
Raw formation energy = -0.12 eV per atom

***

(2)
DFT (PBE) results for a relaxed structure of ZnIn6Hg9.

a = 7.490 Å, b = 7.671 Å, c = 8.353 Å
α = 110.90°, β = 103.02°, γ = 96.91°
Space group P-1 (No. 2)
Asymmetric unit:
Zn  0.000  0.000  0.000 x1
In  0.135  0.381  0.065 x2
In  0.195  0.153  0.384 x2
In  0.336  0.861  0.027 x2
Hg  0.064  0.440  0.660 x2
Hg  0.229  0.050  0.730 x2
Hg  0.347  0.787  0.378 x2
Hg  0.462  0.644  0.679 x2
Hg  0.500  0.500  0.000 x1

Calculated values
Formation energy from the elements = 3 kJ/mol of atoms

***

(3)
DFT (PBE) results for a relaxed structure of Rb2V2Pb.

a = 10.739 Å, b = 10.739 Å, c = 3.194 Å
α = 90.00°, β = 90.00°, γ = 90.00°
Space group P4/mbm (No. 127)
Asymmetric unit:
Rb  0.135  0.365  0.000 x4
V  0.167  0.667  0.500 x4
Pb  0.000  0.000  0.000 x2

Calculated values
Relative energy among the computed polymorphs = 732.8 meV/atom
Formation energy from the elements = 138 kJ/mol of atoms

***

(4)
DFT (PBE) results for a relaxed structure of BaLa2As2.

a = 4.772 Å, b = 4.772 Å, c = 14.459 Å
α = 90.00°, β = 90.00°, γ = 90.00°
Space group I4/mmm (No. 139)
Asymmetric unit:
Ba  0.000  0.000  0.000 x2
La  0.000  0.500  0.250 x4
As  0.000  0.000  0.384 x4

Calculated values
Relative energy among the computed polymorphs = 157.8 meV/atom
Formation energy from the elements = -90 kJ/mol of atoms

***

| no. | density (g cm⁻³) |
| --- | --- |
| 1 | 4.68 |
| 2 | 9.98 |
| 3 | 4.33 |
| 4 | 5.70 |